# 1
Entry from the Alexandria database: Gd2FeCo after structural relaxation (GGA-PBE).

Properties
SG: P4/mmm (123)
Magnetization (μB per cell): 12.8
Formation energy (eV/atom): 0.053
Crystal system: tetragonal
Theoretical density (g/cm3): 9.03

Cell lengths 3.3931, 3.3931, 6.8586 Å; angles 90.00, 90.00, 90.00 degrees
Positions (direct):
Gd (0.0000, 0.0000, 0.2436)
Gd (0.0000, 0.0000, 0.7564)
Fe (0.5000, 0.5000, 0.5000)
Co (0.5000, 0.5000, 0.0000)

# 2
Entry from the Alexandria database: ThZrTc4 after structural relaxation (GGA-PBE).

Properties
SG: F-43m (216)
Magnetization (μB per cell): 0.0
Formation energy (eV/atom): -0.107
Crystal system: cubic
Theoretical density (g/cm3): 10.65

Cell lengths 5.4022, 5.4022, 5.4022 Å; angles 60.00, 60.00, 60.00 degrees
Positions (direct):
Th (0.0000, 0.0000, 0.0000)
Zr (0.7500, 0.7500, 0.7500)
Tc (0.3755, 0.3755, 0.3755)
Tc (0.3755, 0.3755, 0.8735)
Tc (0.3755, 0.8735, 0.3755)
Tc (0.8735, 0.3755, 0.3755)

# 3
Entry from the Alexandria database: Mg2Ga2Pt3 after structural relaxation (GGA-PBE).

Properties
SG: P-1 (2)
Magnetization (μB per cell): 0.0
Formation energy (eV/atom): -0.749
Crystal system: triclinic
Theoretical density (g/cm3): 10.89

Cell lengths 4.3544, 4.3678, 7.5636 Å; angles 73.28, 73.30, 60.40 degrees
Positions (direct):
Mg (0.1311, 0.1314, 0.1089)
Mg (0.8689, 0.8686, 0.8911)
Ga (0.3869, 0.3862, 0.3387)
Ga (0.6131, 0.6138, 0.6613)
Pt (0.0000, 0.0000, 0.5000)
Pt (0.2583, 0.2586, 0.7227)
Pt (0.7417, 0.7414, 0.2773)

# 4
Entry from the Alexandria database: AsIr3Ru after structural relaxation (GGA-PBE).

Properties
SG: Pm-3m (221)
Magnetization (μB per cell): 0.0
Formation energy (eV/atom): 1.845
Crystal system: cubic
Theoretical density (g/cm3): 12.09

Cell lengths 4.6936, 4.6936, 4.6936 Å; angles 90.00, 90.00, 90.00 degrees
Positions (direct):
As (0.0000, 0.0000, 0.0000)
Ir (0.0000, 0.5000, 0.5000)
Ir (0.5000, 0.0000, 0.5000)
Ir (0.5000, 0.5000, 0.0000)
Ru (0.5000, 0.5000, 0.5000)

# 5
Entry from the Alexandria database: Mg2Ag2Ge after structural relaxation (GGA-PBE).

Properties
SG: P4/mbm (127)
Magnetization (μB per cell): 0.0
Formation energy (eV/atom): -0.056
Crystal system: tetragonal
Theoretical density (g/cm3): 5.72

Cell lengths 7.1774, 7.1774, 3.7972 Å; angles 90.00, 90.00, 90.00 degrees
Positions (direct):
Mg (0.1626, 0.3374, 0.0000)
Mg (0.3374, 0.8374, 0.0000)
Mg (0.6626, 0.1626, 0.0000)
Mg (0.8374, 0.6626, 0.0000)
Ag (0.1386, 0.6386, 0.5000)
Ag (0.3614, 0.1386, 0.5000)
Ag (0.6386, 0.8614, 0.5000)
Ag (0.8614, 0.3614, 0.5000)
Ge (0.0000, 0.0000, 0.5000)
Ge (0.5000, 0.5000, 0.5000)

# 6
Entry from the Alexandria database: CuNiAg2 after structural relaxation (GGA-PBE).

Properties
SG: F-43m (216)
Magnetization (μB per cell): 0.0
Formation energy (eV/atom): 0.248
Crystal system: cubic
Theoretical density (g/cm3): 9.47

Cell lengths 4.3767, 4.3767, 4.3767 Å; angles 60.00, 60.00, 60.00 degrees
Positions (direct):
Cu (0.0000, 0.0000, 0.0000)
Ni (0.7500, 0.7500, 0.7500)
Ag (0.2500, 0.2500, 0.2500)
Ag (0.5000, 0.5000, 0.5000)

# 7
Entry from the Alexandria database: Be2CrRh after structural relaxation (GGA-PBE).

Properties
SG: P4mm (99)
Magnetization (μB per cell): 0.4
Formation energy (eV/atom): -0.194
Crystal system: tetragonal
Theoretical density (g/cm3): 6.86

Cell lengths 2.7096, 2.7096, 5.7009 Å; angles 90.00, 90.00, 90.00 degrees
Positions (direct):
Be (0.0000, 0.0000, 0.0000)
Be (0.5000, 0.5000, 0.1988)
Cr (0.0000, 0.0000, 0.4575)
Rh (0.5000, 0.5000, 0.7515)

# 8
Entry from the Alexandria database: BaMg5In2 after structural relaxation (GGA-PBE).

Properties
SG: Immm (71)
Magnetization (μB per cell): 0.0
Formation energy (eV/atom): -0.185
Crystal system: orthorhombic
Theoretical density (g/cm3): 3.61

Cell lengths 7.4451, 7.4451, 7.4451 Å; angles 143.42, 110.27, 81.40 degrees
Positions (direct):
Ba (0.0000, 0.0000, 0.0000)
Mg (0.1724, 0.3538, 0.8186)
Mg (0.4648, 0.6462, 0.8186)
Mg (0.5000, 0.0000, 0.5000)
Mg (0.5352, 0.3538, 0.1814)
Mg (0.8276, 0.6462, 0.1814)
In (0.2453, 0.7453, 0.5000)
In (0.7547, 0.2547, 0.5000)

# 9
Entry from the Alexandria database: Tb3IrS2 after structural relaxation (GGA-PBE).

Properties
SG: I4/mmm (139)
Magnetization (μB per cell): 0.0
ΔE_f (raw) (meV per atom): -1540.4
Crystal system: tetragonal
Theoretical density (g/cm3): 8.94

Cell lengths 8.9728, 8.9728, 8.9728 Å; angles 154.25, 154.25, 36.73 degrees
Positions (direct):
Tb (0.0000, 0.0000, 0.0000)
Tb (0.3393, 0.3393, 0.0000)
Tb (0.6607, 0.6607, 0.0000)
Ir (0.5000, 0.5000, 0.0000)
S (0.1732, 0.1732, 0.0000)
S (0.8268, 0.8268, 0.0000)

# 10
Entry from the Alexandria database: YbPrO2 after structural relaxation (GGA-PBE).

Properties
SG: I4_1/amd (141)
Magnetization (μB per cell): 0.0
ΔE_f (raw) (meV per atom): -2770.0
Crystal system: tetragonal
Theoretical density (g/cm3): 9.28

Cell lengths 6.1008, 6.1008, 6.1008 Å; angles 131.75, 131.75, 70.63 degrees
Positions (direct):
Yb (0.3750, 0.6250, 0.7500)
Yb (0.6250, 0.3750, 0.2500)
Pr (0.1250, 0.8750, 0.2500)
Pr (0.8750, 0.1250, 0.7500)
O (0.1332, 0.3832, 0.7500)
O (0.3832, 0.1332, 0.2500)
O (0.6168, 0.8668, 0.7500)
O (0.8668, 0.6168, 0.2500)

# 11
Entry from the Alexandria database: Rb2DyUS4 after structural relaxation (GGA-PBE).

Properties
SG: P2/m (10)
Magnetization (μB per cell): 3.0
ΔE_f (raw) (meV per atom): -1583.8
Crystal system: monoclinic
Theoretical density (g/cm3): 5.21

Cell lengths 7.0760, 4.0855, 8.0646 Å; angles 90.00, 107.00, 90.00 degrees
Positions (direct):
Rb (0.0000, 0.0000, 0.0000)
Rb (0.5000, 0.5000, 0.0000)
Dy (0.0000, 0.5000, 0.5000)
U (0.5000, 0.0000, 0.5000)
S (0.2300, 0.0000, 0.6930)
S (0.2684, 0.5000, 0.3071)
S (0.7316, 0.5000, 0.6929)
S (0.7700, 0.0000, 0.3070)

# 12
Entry from the Alexandria database: Tb4Y2Er after structural relaxation (GGA-PBE).

Properties
SG: P2_1/m (11)
Magnetization (μB per cell): 0.0
Formation energy (eV/atom): 0.130
Crystal system: monoclinic
Theoretical density (g/cm3): 7.26

Cell lengths 6.2389, 6.5052, 11.4756 Å; angles 90.00, 105.46, 90.00 degrees
Positions (direct):
Tb (0.0396, 0.2500, 0.3647)
Tb (0.1418, 0.2500, 0.9487)
Tb (0.3424, 0.5057, 0.2138)
Tb (0.3424, 0.9943, 0.2138)
Tb (0.6576, 0.0057, 0.7862)
Tb (0.6576, 0.4943, 0.7862)
Tb (0.8582, 0.7500, 0.0513)
Tb (0.9604, 0.7500, 0.6353)
Y (0.2951, 0.7500, 0.9233)
Y (0.3860, 0.7500, 0.5054)
Y (0.6140, 0.2500, 0.4946)
Y (0.7049, 0.2500, 0.0767)
Er (0.1624, 0.2500, 0.6656)
Er (0.8376, 0.7500, 0.3344)